[1]
The following is a GGA-PBE calculation of an optimized crystal structure of SrIr2Cl, from Alexandria.

Cell lengths 3.0474, 3.0474, 8.0662 Å; angles 90.00, 90.00, 90.00 degrees
Fractional positions:
Cl (0.5000, 0.5000, 0.7500)
Ir (0.0000, 0.0000, 0.9570)
Ir (0.0000, 0.0000, 0.5430)
Sr (0.5000, 0.5000, 0.2500)

Properties
As for the uncorrected formation energy: 3.1 eV per formula unit. The total magnetization comes out at 0.0 μB/cell. For the energy above the most stable polymorph in this dataset, the calculation gives 1.1759 eV/atom.

[2]
The following is a GGA-PBE calculation of an optimized crystal structure of Sr2IrCl, from Alexandria.

Cell lengths 5.2060, 5.2060, 5.2060 Å; angles 60.00, 60.00, 60.00 degrees
Fractional positions:
Cl (0.5000, 0.5000, 0.5000)
Ir (0.7500, 0.7500, 0.7500)
Sr (0.0000, 0.0000, 0.0000)
Sr (0.2500, 0.2500, 0.2500)

Properties
As for the uncorrected formation energy: -0.3 eV per formula unit. The total magnetization comes out at 0.0 μB/cell. For the energy above the most stable polymorph in this dataset, the calculation gives 0.8362 eV/atom.

[3]
The following is a GGA-PBE calculation of an optimized crystal structure of Sr2IrCl, from Alexandria.

Cell lengths 6.7186, 6.7186, 6.7186 Å; angles 143.09, 143.09, 53.19 degrees
Fractional positions:
Cl (0.5000, 0.5000, 0.0000)
Ir (0.7500, 0.2500, 0.5000)
Sr (0.0000, 0.0000, 0.0000)
Sr (0.2500, 0.7500, 0.5000)

Properties
As for the uncorrected formation energy: -2.1 eV per formula unit. The total magnetization comes out at 0.0 μB/cell. For the energy above the most stable polymorph in this dataset, the calculation gives 0.3976 eV/atom.

[4]
The following is a GGA-PBE calculation of an optimized crystal structure of SrIr2Cl, from Alexandria.

Cell lengths 3.0546, 5.4473, 5.1079 Å; angles 90.00, 90.00, 90.00 degrees
Fractional positions:
Cl (0.5000, 0.5000, 0.7500)
Ir (0.0000, 0.0000, 0.0047)
Ir (0.0000, 0.0000, 0.4953)
Sr (0.5000, 0.5000, 0.2500)

Properties
As for the uncorrected formation energy: 1.5 eV per formula unit. The total magnetization comes out at 0.0 μB/cell. For the energy above the most stable polymorph in this dataset, the calculation gives 0.7703 eV/atom.

[5]
The following is a GGA-PBE calculation of an optimized crystal structure of Sr2IrCl, from Alexandria.

Cell lengths 3.5596, 3.6565, 8.7534 Å; angles 65.49, 90.00, 90.00 degrees
Fractional positions:
Cl (0.5000, 0.2500, 0.2500)
Ir (0.5000, 0.7500, 0.7500)
Sr (0.0000, 0.0286, 0.9729)
Sr (0.0000, 0.4714, 0.5271)

Properties
As for the uncorrected formation energy: -3.7 eV per formula unit. The total magnetization comes out at 0.0 μB/cell. For the energy above the most stable polymorph in this dataset, the calculation gives 0.0000 eV/atom.

[6]
The following is a GGA-PBE calculation of an optimized crystal structure of Sr2IrCl, from Alexandria.

Cell lengths 5.9537, 5.9537, 5.0229 Å; angles 90.00, 90.00, 36.26 degrees
Fractional positions:
Cl (0.5116, 0.5116, 0.3751)
Ir (0.7366, 0.7366, 0.8749)
Sr (0.9996, 0.9996, 0.8750)
Sr (0.2522, 0.2522, 0.3750)

Properties
As for the uncorrected formation energy: -3.3 eV per formula unit. The total magnetization comes out at 0.0 μB/cell. For the energy above the most stable polymorph in this dataset, the calculation gives 0.1008 eV/atom.

[7]
The following is a GGA-PBE calculation of an optimized crystal structure of SrIrCl2, from Alexandria.

Cell lengths 6.3442, 6.3442, 4.4916 Å; angles 87.18, 87.18, 36.67 degrees
Each line ends with the local moment (μB).
Fractional positions:
Sr (0.2421, 0.2421, 0.2939)  0.00
Ir (0.4979, 0.4979, 0.3231)  0.13
Cl (0.0075, 0.0075, 0.0988)  0.02
Cl (0.7526, 0.7526, 0.7842)  0.00

Properties
As for the uncorrected formation energy: -2.5 eV per formula unit. The total magnetization comes out at 0.2 μB/cell. For the energy above the most stable polymorph in this dataset, the calculation gives 0.1472 eV/atom.

[8]
The following is a GGA-PBE calculation of an optimized crystal structure of SrIrCl2, from Alexandria.

Cell lengths 3.3750, 3.3750, 11.3733 Å; angles 90.00, 90.00, 90.09 degrees
Each line ends with the local moment (μB).
Fractional positions:
Sr (0.5000, 0.5000, 0.7500)  0.00
Ir (0.5000, 0.5000, 0.2500)  1.94
Cl (0.0000, 0.0000, 0.8985)  0.00
Cl (0.0000, 0.0000, 0.6015)  0.00

Properties
As for the uncorrected formation energy: -1.0 eV per formula unit. The total magnetization comes out at 2.1 μB/cell. For the energy above the most stable polymorph in this dataset, the calculation gives 0.5346 eV/atom.

[9]
The following is a GGA-PBE calculation of an optimized crystal structure of SrIr2Cl, from Alexandria.

Cell lengths 6.3010, 6.3010, 3.0176 Å; angles 90.00, 90.00, 132.79 degrees
Fractional positions:
Cl (0.0000, 0.5000, 0.5000)
Ir (0.0000, 0.0000, 0.0000)
Ir (0.5000, 0.5000, 0.0000)
Sr (0.5000, 0.0000, 0.5000)

Properties
As for the uncorrected formation energy: 1.6 eV per formula unit. The total magnetization comes out at 0.0 μB/cell. For the energy above the most stable polymorph in this dataset, the calculation gives 0.8006 eV/atom.

[10]
The following is a GGA-PBE calculation of an optimized crystal structure of SrIrCl2, from Alexandria.

Cell lengths 3.5473, 3.5473, 8.0856 Å; angles 90.00, 90.00, 90.00 degrees
Fractional positions:
Sr (0.5000, 0.5000, 0.7386)
Ir (0.0000, 0.0000, 0.4428)
Cl (0.0000, 0.0000, 0.9306)
Cl (0.5000, 0.5000, 0.3879)

Properties
As for the uncorrected formation energy: -2.2 eV per formula unit. The total magnetization comes out at 0.0 μB/cell. For the energy above the most stable polymorph in this dataset, the calculation gives 0.2373 eV/atom.

[11]
The following is a GGA-PBE calculation of an optimized crystal structure of SrIr2Cl, from Alexandria.

Cell lengths 3.4765, 3.4874, 8.2316 Å; angles 90.00, 90.00, 90.00 degrees
Fractional positions:
Cl (0.5000, 0.5000, 0.6813)
Ir (0.0000, 0.0000, 0.1227)
Ir (0.5000, 0.5000, 0.2047)
Sr (0.0000, 0.0000, 0.4913)

Properties
As for the uncorrected formation energy: -1.4 eV per formula unit. The total magnetization comes out at 0.0 μB/cell. For the energy above the most stable polymorph in this dataset, the calculation gives 0.0525 eV/atom.

[12]
The following is a GGA-PBE calculation of an optimized crystal structure of SrIr2Cl, from Alexandria.

Cell lengths 4.2850, 4.2850, 8.2731 Å; angles 74.96, 74.96, 54.00 degrees
Fractional positions:
Cl (0.7617, 0.7617, 0.6774)
Ir (0.9599, 0.9599, 0.1699)
Ir (0.2696, 0.2696, 0.1737)
Sr (0.5088, 0.5088, 0.4789)

Properties
As for the uncorrected formation energy: -1.6 eV per formula unit. The total magnetization comes out at 0.0 μB/cell. For the energy above the most stable polymorph in this dataset, the calculation gives 0.0000 eV/atom.